1.
Entry from Alexandria via LeMat-Bulk: a geometry-optimized SrInP2 structure (PBE-GGA).

```
SrInP2
1.0
3.3931 -3.3975 0.0000
3.3931 3.3975 0.0000
0.0000 0.0000 3.8917
Sr In P
1 1 2
Direct
0.0000 0.0000 0.0000 Sr
0.5000 0.5000 0.0000 In
0.0000 0.5000 0.5000 P
0.5000 0.0000 0.5000 P
```

Summary:
The total energy is -4.04 eV per atom. The calculation puts the density of states at the Fermi level at 1.916 states/eV/f.u. For the density, the calculation gives 4.9 Mg/m³. As for the formation energy: -5.23 kcal/mol of atoms. Its space group is Cmmm (65).

2.
Entry from Alexandria via LeMat-Bulk: a geometry-optimized Sr2InP structure (PBE-GGA).

```
Sr2InP
1.0
3.9506 0.0000 0.0000
0.0000 3.9506 0.0000
0.0000 0.0000 7.4701
Sr In P
2 1 1
Direct
0.0000 0.0000 0.2116 Sr
0.0000 0.0000 0.7884 Sr
0.5000 0.5000 0.5000 In
0.5000 0.5000 0.0000 P
```

Summary:
The total energy is -3.52 eV per atom. The relative energy among the computed polymorphs is 0.053 eV/f.u. The calculation puts the density of states at the Fermi level at 3.062 states/eV/f.u. For the density, the calculation gives 4.6 Mg/m³. As for the formation energy: -14.74 kcal/mol of atoms. Its space group is P4/mmm (123).

3.
Entry from Alexandria via LeMat-Bulk: a geometry-optimized SrIn2P structure (PBE-GGA).

```
SrIn2P
1.0
3.7795 0.0000 0.0000
0.0000 3.7795 0.0000
0.0000 0.0000 7.3327
Sr In P
1 2 1
Direct
0.0000 0.0000 0.0000 Sr
0.5000 0.5000 0.3075 In
0.5000 0.5000 0.6925 In
0.0000 0.0000 0.5000 P
```

Summary:
The total energy is -3.31 eV per atom. The calculation puts the density of states at the Fermi level at 1.948 states/eV/f.u. For the density, the calculation gives 5.5 Mg/m³. As for the formation energy: -3.82 kcal/mol of atoms. Its space group is P4/mmm (123).

4.
Entry from Alexandria via LeMat-Bulk: a geometry-optimized SrInP structure (PBE-GGA).

```
SrInP
1.0
0.0000 3.6137 3.6137
3.6137 0.0000 3.6137
3.6137 3.6137 0.0000
Sr In P
1 1 1
Direct
0.0000 0.0000 0.0000 Sr
0.2500 0.2500 0.2500 In
0.7500 0.7500 0.7500 P
```

Summary:
The total energy is -3.40 eV per atom. For the density, the calculation gives 4.1 Mg/m³. As for the formation energy: -2.79 kcal/mol of atoms. Its space group is F-43m (216).